Computed, not measured: a relaxed Sr3Sb crystal at the PBE-GGA level of DFT.

Cell and atoms, written as POSCAR:
```
Sr3Sb
1.0
11.329 -0.020 -0.012
10.343 4.622 -0.012
10.343 2.196 4.067
Sb Sr
1 3
Cartesian
0.000 0.000 0.000
23.029 4.890 2.908
16.008 3.399 2.022
8.987 1.908 1.135
```

Results
As for the symmetry: R-3m (166). The calculation puts the uncorrected formation energy at -472 meV per atom. The energy above the most stable polymorph in this dataset is 0.45 eV per formula unit. The calculation puts the theoretical density at 2.98 g/cm3. For the density of states at the Fermi level, the calculation gives 3.86 states/eV/f.u.

=====

Computed, not measured: a relaxed LiThSb crystal at the PBE-GGA level of DFT.

Cell and atoms, written as POSCAR:
```
LiThSb
1.0
4.552 0.000 0.000
0.000 8.262 0.000
0.000 0.000 7.738
Li Th Sb
4 4 4
Cartesian
1.138 7.604 6.301
1.138 4.790 2.432
3.414 3.473 5.306
3.414 0.659 1.437
1.138 2.522 7.720
1.138 1.609 3.851
3.414 6.653 3.887
3.414 5.740 0.018
3.414 3.354 2.214
3.414 0.777 6.083
1.138 7.485 1.655
1.138 4.908 5.524
```

Results
As for the symmetry: Pnma (62). The calculation puts the uncorrected formation energy at -666 meV per atom. The energy above the most stable polymorph in this dataset is 0.05 eV per formula unit. The calculation puts the theoretical density at 8.23 g/cm3. For the density of states at the Fermi level, the calculation gives 1.52 states/eV/f.u.

=====

Computed, not measured: a relaxed FePdPbCl2 crystal at the PBE-GGA level of DFT.

Cell and atoms, written as POSCAR:
```
FePdPbCl2
1.0
5.544 0.000 0.000
0.000 5.267 0.000
0.000 0.000 5.544
Pb Fe Pd Cl
1 1 1 2
Cartesian
0.000 0.000 0.000
0.000 2.633 0.000
2.772 2.633 2.772
0.000 0.000 2.772
2.772 0.000 0.000
```

Results
As for the symmetry: P4/mmm (123). The calculation puts the uncorrected formation energy at 717 meV per atom. The calculation puts the theoretical density at 4.52 g/cm3. For the density of states at the Fermi level, the calculation gives 8.36 states/eV/f.u.

=====

Computed, not measured: a relaxed Ta2AlSi crystal at the PBE-GGA level of DFT.

Cell and atoms, written as POSCAR:
```
Ta2AlSi
1.0
-1.001 4.528 2.141
-0.462 -0.060 5.087
3.420 -1.756 -3.363
Si Al Ta
1 1 2
Cartesian
1.113 0.207 2.670
-0.732 2.236 3.613
-0.463 -0.055 5.084
0.844 2.499 1.199
```

Results
As for the symmetry: C2 (5). The calculation puts the uncorrected formation energy at -199 meV per atom. The energy above the most stable polymorph in this dataset is 0.12 eV per formula unit. The calculation puts the theoretical density at 10.69 g/cm3. For the density of states at the Fermi level, the calculation gives 2.16 states/eV/f.u.

=====

Computed, not measured: a relaxed La2SnSbPt6 crystal at the PBE-GGA level of DFT.

Cell and atoms, written as POSCAR:
```
La2SnSbPt6
1.0
-1.825 -0.501 6.643
3.887 -5.463 1.870
4.064 1.309 3.503
La Sn Sb Pt
2 1 1 6
Cartesian
1.705 -0.794 6.996
4.421 -3.861 5.020
0.000 0.000 0.000
1.031 -2.982 4.256
2.464 -0.764 3.952
5.660 -3.212 9.845
2.829 -3.042 2.283
3.297 -1.613 9.733
0.466 -1.443 2.172
3.662 -3.891 8.064
```

Results
As for the symmetry: P-1 (2). The calculation puts the uncorrected formation energy at -762 meV per atom. The calculation puts the theoretical density at 12.54 g/cm3. For the density of states at the Fermi level, the calculation gives 7.01 states/eV/f.u.

=====

Computed, not measured: a relaxed Nb2SnHIr crystal at the PBE-GGA level of DFT.

Cell and atoms, written as POSCAR:
```
Nb2SnHIr
1.0
4.093 0.000 0.000
0.000 4.362 0.000
0.000 0.000 4.093
H Nb Ir Sn
1 2 1 1
Cartesian
0.000 0.000 0.000
0.000 0.000 2.047
2.047 0.000 0.000
0.000 2.181 0.000
2.047 2.181 2.047
```

Results
As for the symmetry: P4/mmm (123). The calculation puts the theoretical density at 11.31 g/cm3. For the density of states at the Fermi level, the calculation gives 3.29 states/eV/f.u.

=====

Computed, not measured: a relaxed Sr2Cd2In15 crystal at the PBE-GGA level of DFT.

Cell and atoms, written as POSCAR:
```
Sr2Cd2In15
1.0
-3.865 7.693 0.435
-4.756 0.684 7.157
3.843 5.081 5.807
Sr Cd In
2 2 15
Cartesian
-1.351 3.805 3.788
-3.427 9.653 9.611
-0.473 1.331 1.326
-4.306 12.126 12.074
-1.933 3.846 0.218
1.921 2.540 2.904
-2.378 0.342 3.578
-2.208 1.987 6.757
-4.129 5.616 2.427
1.559 5.855 4.216
-4.492 2.761 5.165
-1.581 6.919 2.027
1.295 3.778 6.207
-1.262 4.778 7.528
-4.218 5.779 5.467
-0.920 7.466 4.950
-3.517 8.680 5.872
-0.561 7.678 7.932
-3.859 5.992 8.450
```

Results
The energy of formation is -96 meV/atom. As for the symmetry: R-3m (166). The calculation puts the theoretical density at 6.56 g/cm3. For the density of states at the Fermi level, the calculation gives 9.55 states/eV/f.u.

=====

Computed, not measured: a relaxed Tb2DyRu3 crystal at the PBE-GGA level of DFT.

Cell and atoms, written as POSCAR:
```
Tb2DyRu3
1.0
-0.319 -2.890 -1.798
4.380 0.677 -1.865
0.714 -4.060 6.400
Tb Dy Ru
2 1 3
Cartesian
1.937 -2.483 3.648
3.156 -0.900 0.887
0.000 0.000 0.000
2.030 -1.107 -1.831
3.969 -3.590 1.818
0.806 -2.682 0.919
```

Results
The energy of formation is -300 meV/atom. As for the symmetry: Cmmm (65). The energy above the most stable polymorph in this dataset is 0.02 eV per formula unit. The calculation puts the theoretical density at 10.96 g/cm3. For the density of states at the Fermi level, the calculation gives 6.25 states/eV/f.u.

=====

Computed, not measured: a relaxed PrMg2Rh crystal at the PBE-GGA level of DFT.

Cell and atoms, written as POSCAR:
```
PrMg2Rh
1.0
5.607 0.000 0.000
0.000 8.291 0.000
0.000 0.000 15.664
Pr Mg Rh
8 16 8
Cartesian
2.574 2.073 2.127
5.378 6.219 5.705
3.033 6.219 13.537
0.230 2.073 9.959
4.242 2.073 6.229
1.438 6.219 1.603
1.365 6.219 9.435
4.169 2.073 14.061
5.402 0.459 3.320
2.598 7.833 4.512
0.205 4.604 12.345
3.009 3.687 11.152
0.205 7.833 12.345
3.009 0.459 11.152
5.402 3.687 3.320
2.598 4.604 4.512
4.312 4.620 0.663
1.509 3.672 7.169
1.295 0.474 15.001
4.098 7.817 8.495
1.295 3.672 15.001
4.098 4.620 8.495
4.312 7.817 0.663
1.509 0.474 7.169
1.418 2.073 4.856
4.222 6.219 2.976
4.189 6.219 10.808
1.385 2.073 12.688
5.443 2.073 1.089
2.639 6.219 6.743
0.164 6.219 14.575
2.968 2.073 8.921
```

Results
The energy of formation is -449 meV/atom. As for the symmetry: Pnma (62). The calculation puts the theoretical density at 5.33 g/cm3. For the density of states at the Fermi level, the calculation gives 2.61 states/eV/f.u.

=====

Computed, not measured: a relaxed InRe2Sb crystal at the PBE-GGA level of DFT.

Cell and atoms, written as POSCAR:
```
InRe2Sb
1.0
3.088 0.000 0.000
0.000 5.259 -0.010
0.000 3.430 4.415
In Re Sb
1 2 1
Cartesian
0.000 1.715 2.208
0.000 0.000 0.000
1.544 2.630 -0.005
1.544 4.345 2.203
```

Results
As for the symmetry: P2/m (10). The calculation puts the uncorrected formation energy at 752 meV per atom. The energy above the most stable polymorph in this dataset is 2.03 eV per formula unit. The calculation puts the theoretical density at 14.08 g/cm3. For the density of states at the Fermi level, the calculation gives 3.50 states/eV/f.u.

=====

Computed, not measured: a relaxed Li2CdSnBr6 crystal at the PBE-GGA level of DFT.

Cell and atoms, written as POSCAR:
```
Li2CdSnBr6
1.0
-4.112 -3.587 4.553
-1.530 -6.831 -1.218
3.386 -5.252 4.468
Li Cd Sn Br
2 1 1 6
Cartesian
-1.284 -7.782 3.801
3.212 -5.192 4.356
-1.650 -3.551 1.259
-2.760 -11.392 5.172
-2.041 -5.118 3.532
-1.581 -8.356 1.095
-3.837 -8.654 4.479
-0.143 -10.351 4.210
-0.668 -7.477 6.558
1.438 -7.030 3.490
```

Results
As for the symmetry: R3 (146). The calculation puts the uncorrected formation energy at -1065 meV per atom. The calculation puts the theoretical density at 4.24 g/cm3. For the density of states at the Fermi level, the calculation gives 0.00 states/eV/f.u.

=====

Computed, not measured: a relaxed NaEr2Hg9 crystal at the PBE-GGA level of DFT.

Cell and atoms, written as POSCAR:
```
NaEr2Hg9
1.0
-2.194 1.963 -3.488
-3.655 0.638 2.659
4.999 12.480 3.877
Na Er Hg
1 2 9
Cartesian
0.000 0.000 0.000
1.651 4.122 1.280
3.348 8.358 2.597
-2.925 1.301 -0.415
-1.244 5.497 0.889
0.394 9.584 2.159
-0.252 3.090 -1.089
1.403 7.221 0.194
3.057 11.352 1.478
-0.983 2.428 1.984
0.672 6.559 3.268
2.327 10.690 4.551
```

Results
The energy of formation is -258 meV/atom. As for the symmetry: P4/mmm (123). The calculation puts the theoretical density at 12.32 g/cm3. For the density of states at the Fermi level, the calculation gives 5.90 states/eV/f.u.

=====

Computed, not measured: a relaxed Ba2ScPd crystal at the PBE-GGA level of DFT.

Cell and atoms, written as POSCAR:
```
Ba2ScPd
1.0
-1.175 11.417 3.458
-1.480 -3.587 11.341
1.193 4.061 7.775
Sc Ba Pd
2 4 2
Cartesian
-1.328 3.915 7.399
-0.807 2.194 13.258
-0.808 9.515 6.071
-1.762 9.805 12.373
0.134 6.551 9.580
-0.183 12.915 9.239
0.000 0.000 0.000
-0.655 9.696 9.316
```

Results
The energy of formation is -15 meV/atom. As for the symmetry: I-42d (122). The energy above the most stable polymorph in this dataset is 0.00 eV per formula unit. The calculation puts the theoretical density at 3.86 g/cm3. For the density of states at the Fermi level, the calculation gives 7.60 states/eV/f.u.

=====

Computed, not measured: a relaxed Cs2Na2Br crystal at the PBE-GGA level of DFT.

Cell and atoms, written as POSCAR:
```
Cs2Na2Br
1.0
9.649 0.000 0.000
0.000 9.649 0.000
0.000 0.000 7.389
Cs Na Br
4 4 2
Cartesian
2.990 7.815 0.000
7.815 6.659 0.000
6.659 1.835 0.000
1.835 2.990 0.000
1.205 6.030 3.694
6.030 8.444 3.694
8.444 3.620 3.694
3.620 1.205 3.694
0.000 0.000 0.000
4.825 4.825 0.000
```

Results
As for the symmetry: P4/mbm (127). The calculation puts the uncorrected formation energy at -494 meV per atom. The energy above the most stable polymorph in this dataset is 0.00 eV per formula unit. The calculation puts the theoretical density at 1.89 g/cm3. For the density of states at the Fermi level, the calculation gives 5.47 states/eV/f.u.

=====

Computed, not measured: a relaxed KYMgNi2 crystal at the PBE-GGA level of DFT.

Cell and atoms, written as POSCAR:
```
KYMgNi2
1.0
-2.808 2.953 -2.692
-1.672 -3.937 -2.574
-3.646 -0.546 3.203
Y Ni K Mg
1 2 1 1
Cartesian
-4.063 -0.765 -1.031
-1.823 -0.273 1.602
-1.404 1.477 -1.346
0.000 0.000 0.000
-0.836 -1.968 -1.287
```

Results
The energy of formation is 1265 meV/atom. As for the symmetry: P4/mmm (123). The calculation puts the theoretical density at 3.76 g/cm3. For the density of states at the Fermi level, the calculation gives 6.53 states/eV/f.u.

=====

Computed, not measured: a relaxed Pr4Tm5Sn2 crystal at the PBE-GGA level of DFT.

Cell and atoms, written as POSCAR:
```
Pr4Tm5Sn2
1.0
5.190 0.000 0.000
2.595 4.495 0.000
2.595 1.498 16.115
Pr Tm Sn
4 5 2
Cartesian
7.785 4.495 13.383
5.190 2.996 4.599
5.190 2.996 11.517
2.595 1.498 2.732
7.785 4.495 9.544
5.190 2.996 0.875
5.190 2.996 8.058
5.190 2.996 15.240
2.595 1.498 6.571
2.595 1.498 9.873
7.785 4.495 6.242
```

Results
The energy of formation is 79 meV/atom. As for the symmetry: R-3m (166). The calculation puts the theoretical density at 7.27 g/cm3. For the density of states at the Fermi level, the calculation gives 17.37 states/eV/f.u.

=====

Computed, not measured: a relaxed YIrS2N crystal at the PBE-GGA level of DFT.

Cell and atoms, written as POSCAR:
```
YIrS2N
1.0
5.294 0.000 0.000
0.000 5.537 0.000
0.000 0.000 5.294
Y S Ir N
1 2 1 1
Cartesian
0.000 0.000 0.000
0.000 0.000 2.647
2.647 0.000 0.000
0.000 2.769 0.000
2.647 2.769 2.647
```

Results
As for the symmetry: P4/mmm (123). The calculation puts the uncorrected formation energy at 1651 meV per atom. The energy above the most stable polymorph in this dataset is 10.75 eV per formula unit. The calculation puts the theoretical density at 3.84 g/cm3. For the density of states at the Fermi level, the calculation gives 5.19 states/eV/f.u.

=====

Computed, not measured: a relaxed MnBr crystal at the PBE-GGA level of DFT.

Cell and atoms, written as POSCAR:
```
MnBr
1.0
-0.187 3.318 -1.274
-0.980 -2.747 -2.040
-11.837 0.999 4.344
Mn Br
3 3
Cartesian
-5.439 0.459 1.996
-2.209 -0.599 -1.236
-9.836 2.088 1.915
-3.084 0.260 1.132
-11.691 0.201 2.243
-7.481 1.890 1.051
```

Results
As for the symmetry: R3m (160). The calculation puts the uncorrected formation energy at 137 meV per atom. The calculation puts the theoretical density at 4.84 g/cm3. For the density of states at the Fermi level, the calculation gives 0.57 states/eV/f.u.

=====

Computed, not measured: a relaxed Ac7Sn3Bi crystal at the PBE-GGA level of DFT.

Cell and atoms, written as POSCAR:
```
Ac7Sn3Bi
1.0
-2.637 5.522 -2.172
-5.987 -4.990 3.978
4.320 1.315 7.496
Ac Sn Bi
7 3 1
Cartesian
-0.750 0.334 1.599
1.377 2.311 4.052
-0.081 2.961 7.161
-4.223 -1.114 2.141
-0.834 -1.838 5.737
-5.681 -0.465 5.250
-3.554 1.513 7.703
-3.602 -3.531 4.792
-1.318 2.761 -1.086
1.935 -0.144 6.682
-2.152 0.923 4.651
```

Results
The energy of formation is -424 meV/atom. As for the symmetry: C2/m (12). The calculation puts the theoretical density at 8.41 g/cm3. For the density of states at the Fermi level, the calculation gives 11.57 states/eV/f.u.

=====

Computed, not measured: a relaxed PIr2Os crystal at the PBE-GGA level of DFT.

Cell and atoms, written as POSCAR:
```
PIr2Os
1.0
4.627 0.000 0.000
0.000 4.627 0.000
0.000 0.000 2.713
P Ir Os
1 2 1
Cartesian
0.000 0.000 1.357
2.314 0.000 0.000
0.000 2.314 0.000
2.314 2.314 1.357
```

Results
The energy of formation is 422 meV/atom. As for the symmetry: P4/mmm (123). The calculation puts the theoretical density at 17.31 g/cm3. For the density of states at the Fermi level, the calculation gives 3.92 states/eV/f.u.

=====

| no. | spin magnetization (μB/cell) | raw total energy (eV/atom) |
| --- | --- | --- |
| 1 | 0.5 | -2.764 |
| 2 | 0.0 | -5.151 |
| 3 | 3.7 | -3.495 |
| 4 | 0.0 | -8.417 |
| 5 | 0.0 | -6.184 |
| 6 | 0.0 | -7.456 |
| 7 | 0.0 | -2.531 |
| 8 | 0.0 | -7.248 |
| 9 | 0.0 | -4.279 |
| 10 | 0.0 | -7.187 |
| 11 | 0.0 | -2.944 |
| 12 | 0.0 | -1.355 |
| 13 | 0.0 | -3.858 |
| 14 | 0.0 | -1.698 |
| 15 | 0.0 | -2.879 |
| 16 | 0.0 | -4.419 |
| 17 | 6.5 | -4.730 |
| 18 | 12.3 | -5.284 |
| 19 | 0.0 | -4.483 |
| 20 | 0.0 | -8.168 |